Compound: Ti6H2N
Source: Alexandria via LeMat-Bulk
Functional: PBE-GGA
Structure: optimized geometry

Cell lengths 8.9319, 8.9319, 4.7922 Å; angles 90.00, 90.00, 120.00 degrees
With the nearest neighbours (Å) after each atom.
Positions (direct):
Ti 0.1041 0.2174 0.2487  1 N 2.07, 2 H 2.07-2.17
Ti 0.1133 0.8959 0.2487  1 N 2.07, 2 H 2.07-2.17
Ti 0.1182 0.5528 0.2705  2 H 2.08-2.14, 1 N 2.08
Ti 0.2140 0.7656 0.7612  1 N 2.07, 2 H 2.08-2.14
Ti 0.2174 0.1041 0.7513  1 N 2.07, 2 H 2.07-2.17
Ti 0.2344 0.4484 0.7612  1 N 2.07, 2 H 2.08-2.14
Ti 0.4347 0.8818 0.2705  2 H 2.08-2.14, 1 N 2.08
Ti 0.4472 0.5653 0.2705  2 H 2.08-2.14, 1 N 2.08
Ti 0.4484 0.2344 0.2388  1 N 2.07, 2 H 2.08-2.14
Ti 0.5516 0.7860 0.7612  1 N 2.07, 2 H 2.08-2.14
Ti 0.5528 0.1182 0.7295  2 H 2.08-2.14, 1 N 2.08
Ti 0.5653 0.4472 0.7295  2 H 2.08-2.14, 1 N 2.08
Ti 0.7656 0.2140 0.2388  1 N 2.07, 2 H 2.08-2.14
Ti 0.7826 0.8867 0.2487  1 N 2.07, 2 H 2.07-2.17
Ti 0.7860 0.5516 0.2388  1 N 2.07, 2 H 2.08-2.14
Ti 0.8818 0.4347 0.7295  2 H 2.08-2.14, 1 N 2.08
Ti 0.8867 0.7826 0.7513  1 N 2.07, 2 H 2.07-2.17
Ti 0.8959 0.1133 0.7513  1 N 2.07, 2 H 2.07-2.17
H 0.0000 0.3324 0.0000  6 Ti 2.07-2.14
H 0.0000 0.6623 0.5000  6 Ti 2.08-2.17
H 0.3324 0.0000 0.0000  6 Ti 2.07-2.14
H 0.3377 0.3377 0.5000  6 Ti 2.08-2.17
H 0.6623 0.0000 0.5000  6 Ti 2.08-2.17
H 0.6676 0.6676 0.0000  6 Ti 2.07-2.14
N 0.0000 0.0000 0.5000  6 Ti 2.07
N 0.3333 0.6667 0.0095  6 Ti 2.07-2.08
N 0.6667 0.3333 0.9905  6 Ti 2.07-2.08

Computed properties:
* polymorph energy (0 for the lowest one): 0.00 eV/f.u.
* SG: No. 150